{"formula": "CuP2Pt", "functional": "meta-GGA SCAN", "state": "PBEsol geometry", "lattice_angstrom": [[5.216, 0.000, 0.000], [0.000, 6.567, 0.000], [0.000, 0.000, 3.204]], "species": ["Cu", "Cu", "P", "P", "P", "P", "Pt", "Pt"], "frac_coords": [[0.000, 0.000, 0.000], [0.500, 0.500, 0.000], [0.250, 0.250, 0.500], [0.250, 0.750, 0.500], [0.750, 0.250, 0.500], [0.750, 0.750, 0.500], [0.000, 0.500, 0.000], [0.500, 0.000, 0.000]], "e_above_lowest_polymorph_ev_per_atom": 0.352, "e_tot_ev_per_cell": -210.67, "ef_mev_per_atom": 214}